# 1
Material: ReOs2Se
Method: DFT, PBEsol
State: optimized geometry

Cell: 4.1463 4.4991 4.1463 Å, 62.56 90.00 117.44°
Closest atoms and distances in Å follow each position.
Atoms (fractional coordinates):
Os  0.0000  0.0000  0.0000  4 Se 2.69, 4 Os 2.69, 4 Re 2.93
Os  0.2500  0.5000  0.2500  4 Re 2.69, 4 Os 2.69, 4 Se 2.93
Re  0.5000  0.0000  0.5000  4 Se 2.69, 8 Os 2.69-2.93
Se  0.7500  0.5000  0.7500  4 Re 2.69, 8 Os 2.69-2.93

**Total DFT energy (no corrections)**: -9.5876 eV/atom
**Fermi-level density of states**: 4.3 states/eV/f.u.

***

# 2
Material: CaTiCrN2
Method: DFT, PBEsol
State: optimized geometry

Cell: 4.0039 4.0039 5.2160 Å, 90.00 90.00 90.00°
Closest atoms and distances in Å follow each position.
Atoms (fractional coordinates):
Cr  0.5000  0.5000  0.5000  4 Ca 2.83
Ca  0.0000  0.0000  0.5000  2 Ti 2.61, 4 Cr 2.83
N  0.0000  0.5000  0.0000  2 Ti 2.00
N  0.5000  0.0000  0.0000  2 Ti 2.00
Ti  0.0000  0.0000  0.0000  4 N 2.00

**Total DFT energy (no corrections)**: -6.5194 eV/atom
**Fermi-level density of states**: 3.7 states/eV/f.u.

***

# 3
Material: LaOs2Rh
Method: DFT, PBEsol
State: optimized geometry

Cell: 2.8204 3.6510 6.8697 Å, 90.00 90.00 90.00°
Closest atoms and distances in Å follow each position.
Atoms (fractional coordinates):
La  0.5000  0.5000  0.7408  2 La 2.82, 4 Rh 3.04
Os  0.0000  0.0000  0.0698  6 Os 2.58-2.82, 1 Rh 2.63
Os  0.5000  0.5000  0.2367  6 Os 2.58-2.82, 4 Rh 2.74
Rh  0.0000  0.0000  0.4526  5 Os 2.63-2.74, 2 Rh 2.82

**Fermi-level density of states**: 4.4 states/eV/f.u.
**Calculated formation energy**: 208 meV per atom
**Energy above the lowest structure with this stoichiometry**: 0 meV/atom

***

# 4
Material: Zn2FeCl
Method: DFT, PBEsol
State: optimized geometry

Cell: 2.8472 4.5698 4.5698 Å, 90.00 90.00 90.00°
Closest atoms and distances in Å follow each position.
Atoms (fractional coordinates):
Zn  0.0000  0.0000  0.5000  4 Cl 2.69, 4 Fe 2.69, 2 Zn 2.85
Zn  0.0000  0.5000  0.0000  4 Cl 2.69, 4 Fe 2.69, 2 Zn 2.85
Fe  0.5000  0.0000  0.0000  8 Zn 2.69, 2 Fe 2.85
Cl  0.5000  0.5000  0.5000  8 Zn 2.69, 2 Cl 2.85

**Fermi-level density of states**: 2.8 states/eV/f.u.
**Energy above the lowest structure with this stoichiometry**: 207 meV/atom

***

# 5
Material: ZrTeOsI2
Method: DFT, PBEsol
State: optimized geometry

Cell: 5.1877 5.1877 5.1798 Å, 90.00 90.00 90.00°
Closest atoms and distances in Å follow each position.
Atoms (fractional coordinates):
I  0.0000  0.5000  0.0000  2 Os 2.59
I  0.5000  0.0000  0.0000  2 Os 2.59
Te  0.0000  0.0000  0.5000  2 Os 2.59
Os  0.0000  0.0000  0.0000  2 Te 2.59, 4 I 2.59
Zr  0.5000  0.5000  0.5000  8 I 3.67, 4 Te 3.67

**Total DFT energy (no corrections)**: -4.7886 eV/atom
**Fermi-level density of states**: 5.6 states/eV/f.u.

***

# 6
Material: Zr2TlCd
Method: DFT, PBEsol
State: optimized geometry

Cell: 4.2344 4.2344 5.6429 Å, 112.04 112.04 90.00°
Closest atoms and distances in Å follow each position.
Atoms (fractional coordinates):
Tl  0.2500  0.7500  0.5000  8 Zr 2.99-3.19, 4 Cd 3.19
Zr  0.0000  0.0000  0.0000  4 Cd 2.99, 4 Tl 3.19, 4 Zr 3.19
Zr  0.7500  0.2500  0.5000  4 Tl 2.99, 4 Zr 3.19, 4 Cd 3.19
Cd  0.5000  0.5000  0.0000  8 Zr 2.99-3.19, 4 Tl 3.19

**Fermi-level density of states**: 3.9 states/eV/f.u.
**Calculated formation energy**: -89 meV per atom

***

# 7
Material: PrSBr
Method: DFT, PBEsol
State: optimized geometry

Cell: 6.9301 6.9819 7.0715 Å, 90.00 90.00 99.78°
Closest atoms and distances in Å follow each position.
Atoms (fractional coordinates):
Pr  0.7897  0.6820  0.0361  4 S 2.80-2.82, 3 Br 3.01-3.13
Pr  0.2103  0.3180  0.9639  4 S 2.80-2.82, 3 Br 3.01-3.13
Pr  0.7103  0.3180  0.5361  4 S 2.80-2.82, 3 Br 3.01-3.13
Pr  0.2897  0.6820  0.4639  4 S 2.80-2.82, 3 Br 3.01-3.13
S  0.9915  0.4456  0.2587  4 Pr 2.80-2.82
S  0.0085  0.5544  0.7413  4 Pr 2.80-2.82
S  0.5085  0.5544  0.7587  4 Pr 2.80-2.82
S  0.4915  0.4456  0.2413  4 Pr 2.80-2.82
Br  0.7087  0.9152  0.3833  3 Pr 3.01-3.13
Br  0.2913  0.0848  0.6167  3 Pr 3.01-3.13
Br  0.7913  0.0848  0.8833  3 Pr 3.01-3.13
Br  0.2087  0.9152  0.1167  3 Pr 3.01-3.13

**Total DFT energy (no corrections)**: -5.8293 eV/atom
**Fermi-level density of states**: 0.0 states/eV/f.u.

***

# 8
Material: Ga2CoS4
Method: DFT, PBEsol
State: optimized geometry

Cell: 5.1715 5.1715 6.3192 Å, 114.15 114.15 90.00°
Closest atoms and distances in Å follow each position.
Atoms (fractional coordinates):
S  0.8955  0.3840  0.2567  1 Co 2.22, 2 Ga 2.29
S  0.1272  0.1045  0.7433  1 Co 2.22, 2 Ga 2.29
S  0.6160  0.6388  0.7433  1 Co 2.22, 2 Ga 2.29
S  0.3612  0.8728  0.2567  1 Co 2.22, 2 Ga 2.29
Co  0.0000  0.0000  0.0000  4 S 2.22
Ga  0.5000  0.5000  0.0000  4 S 2.29
Ga  0.7500  0.2500  0.5000  4 S 2.29

**Total DFT energy (no corrections)**: -5.0863 eV/atom
**Fermi-level density of states**: 0.1 states/eV/f.u.

***

# 9
Material: ZnW
Method: DFT, PBEsol
State: optimized geometry

Cell: 3.0547 3.0547 3.0547 Å, 90.00 90.00 90.00°
Closest atoms and distances in Å follow each position.
Atoms (fractional coordinates):
W  0.0000  0.0000  0.0000  8 Zn 2.65
Zn  0.5000  0.5000  0.5000  8 W 2.65

**Fermi-level density of states**: 1.9 states/eV/f.u.
**Calculated formation energy**: 616 meV per atom

***

# 10
Material: Sc2Ge2Ir
Method: DFT, PBEsol
State: optimized geometry

Cell: 4.1133 6.4223 6.4223 Å, 90.00 90.00 90.00°
Closest atoms and distances in Å follow each position.
Atoms (fractional coordinates):
Sc  0.5000  0.1720  0.6720  6 Ge 2.69-2.87
Sc  0.5000  0.6720  0.8280  6 Ge 2.69-2.87
Sc  0.5000  0.8280  0.3280  6 Ge 2.69-2.87
Sc  0.5000  0.3280  0.1720  6 Ge 2.69-2.87
Ge  0.0000  0.3633  0.8633  1 Ge 2.48, 2 Ir 2.49, 2 Sc 2.69
Ge  0.0000  0.8633  0.6367  1 Ge 2.48, 2 Ir 2.49, 2 Sc 2.69
Ge  0.0000  0.6367  0.1367  1 Ge 2.48, 2 Ir 2.49, 2 Sc 2.69
Ge  0.0000  0.1367  0.3633  1 Ge 2.48, 2 Ir 2.49, 2 Sc 2.69
Ir  0.0000  0.0000  0.0000  4 Ge 2.49
Ir  0.0000  0.5000  0.5000  4 Ge 2.49

**Fermi-level density of states**: 2.8 states/eV/f.u.
**Calculated formation energy**: -946 meV per atom

***

# 11
Material: CdHgPb
Method: DFT, PBEsol
State: optimized geometry

Cell: 3.3960 3.3960 6.8002 Å, 104.46 104.46 90.00°
Closest atoms and distances in Å follow each position.
Atoms (fractional coordinates):
Pb  0.3337  0.3337  0.6675  4 Cd 3.29, 4 Hg 3.30, 4 Pb 3.40
Hg  0.6554  0.6554  0.3107  4 Cd 3.02, 4 Pb 3.30
Cd  0.0109  0.0109  0.0218  4 Hg 3.02, 4 Pb 3.29

**Fermi-level density of states**: 1.5 states/eV/f.u.
**Calculated formation energy**: 29 meV per atom

***

# 12
Material: ZrTl2Pt
Method: DFT, PBEsol
State: optimized geometry

Cell: 4.3078 4.3078 4.3624 Å, 90.00 90.00 90.00°
Closest atoms and distances in Å follow each position.
Atoms (fractional coordinates):
Pt  0.0000  0.0000  0.5000  4 Zr 3.05, 8 Tl 3.07
Tl  0.0000  0.5000  0.0000  4 Tl 3.05, 4 Zr 3.07, 4 Pt 3.07
Tl  0.5000  0.0000  0.0000  4 Tl 3.05, 4 Zr 3.07, 4 Pt 3.07
Zr  0.5000  0.5000  0.5000  4 Pt 3.05, 8 Tl 3.07

**Fermi-level density of states**: 1.9 states/eV/f.u.
**Calculated formation energy**: -188 meV per atom
**Energy above the lowest structure with this stoichiometry**: 0 meV/atom

***

It is found that the spin magnetization values, taken in the order of the records, are 0.00; 0.85; 0.00; 0.54; 0.21; 0.00; 0.00; 0.43; 0.00; 0.00; 0.00; 0.00 μB/atom.